The following is a GGA-PBE calculation of an optimized crystal structure of HoErZn, from OQMD via LeMat-Bulk.

Summary:
- E above lowest polymorph: 256 meV/atom
- Formation energy: 16 meV/atom
- Calculated volume: 27.5 Å³ per atom
- Total DFT energy (no corrections): -41.42 eV per cell

a = 6.9074 Å, b = 6.9074 Å, c = 6.9074 Å
α = 90.00°, β = 90.00°, γ = 90.00°
Space group F-43m (No. 216)
Asymmetric unit:
Ho 0.0000 0.0000 0.0000 x4
Er 0.0000 0.0000 0.5000 x4
Zn 0.2500 0.2500 0.7500 x4

The following is a GGA-PBE calculation of an optimized crystal structure of HoErZn6, from OQMD via LeMat-Bulk.

Summary:
- Formation energy: -289 meV/atom
- Calculated volume: 17.7 Å³ per atom
- Total DFT energy (no corrections): -19.04 eV per cell

a = 4.6446 Å, b = 4.6446 Å, c = 6.5725 Å
α = 90.00°, β = 90.00°, γ = 90.00°
Space group P4/mmm (No. 123)
Asymmetric unit:
Ho 0.0000 0.0000 0.0000 x1
Er 0.5000 0.5000 0.5000 x1
Zn 0.0000 0.0000 0.5000 x1
Zn 0.0000 0.5000 0.2505 x4
Zn 0.5000 0.5000 0.0000 x1

The following is a GGA-PBE calculation of an optimized crystal structure of HoErZn, from OQMD via LeMat-Bulk.

Summary:
- E above lowest polymorph: 0 meV/atom
- Formation energy: -240 meV/atom
- Calculated volume: 24.9 Å³ per atom
- Total DFT energy (no corrections): -44.50 eV per cell

a = 6.7057 Å, b = 4.9700 Å, c = 8.9828 Å
α = 90.00°, β = 90.00°, γ = 90.00°
Space group Pnma (No. 62)
Asymmetric unit:
Ho 0.1675 0.2500 0.0752 x4
Er 0.0168 0.2500 0.6943 x4
Zn 0.2274 0.2500 0.3992 x4

The following is a GGA-PBE calculation of an optimized crystal structure of HoErZn6, from OQMD via LeMat-Bulk.

Summary:
- Formation energy: -289 meV/atom
- Calculated volume: 17.7 Å³ per atom
- Total DFT energy (no corrections): -19.04 eV per cell

a = 4.6516 Å, b = 6.5519 Å, c = 4.6520 Å
α = 90.00°, β = 90.00°, γ = 90.00°
Space group Pmm2 (No. 25)
Asymmetric unit:
Ho 0.0000 0.0000 0.0000 x1
Er 0.5000 0.5000 0.4914 x1
Zn 0.0000 0.2505 0.5007 x2
Zn 0.0000 0.5000 0.9993 x1
Zn 0.5000 0.0000 0.4923 x1
Zn 0.5000 0.2506 0.9907 x2

> Among the records above, which one has the highest formation energy?

number 1

> Look up the calculated volume of the first one.

27.5 Å³ per atom